An optimized crystal structure of MnSn4H24C8Se10N2, computed with PBE.

## Properties
**Total energy**: -4.95 eV/atom
**Magnetization**: 10.000 Bohr magnetons per cell

Lattice parameters (Å, degrees): 10.1986 10.1986 15.8993 90.00 90.00 90.00
Space group I-4 (No. 82)
Inequivalent atoms, fractional coordinates:
Mn  0.0000  0.0000  0.0000 (multiplicity 2)
Sn  0.0742  0.6877  0.1582 (multiplicity 8)
H  0.0002  0.1482  0.5929 (multiplicity 8)
H  0.0418  0.8597  0.4047 (multiplicity 8)
H  0.0532  0.3004  0.7360 (multiplicity 8)
H  0.0536  0.6351  0.6552 (multiplicity 8)
H  0.0909  0.6179  0.8430 (multiplicity 8)
H  0.1270  0.1643  0.5144 (multiplicity 8)
C  0.0319  0.3845  0.6952 (multiplicity 8)
C  0.0726  0.0959  0.5546 (multiplicity 8)
Se  0.0000  0.5000  0.0591 (multiplicity 4)
Se  0.1157  0.2274  0.2504 (multiplicity 8)
Se  0.1315  0.1774  0.9266 (multiplicity 8)
N  0.0000  0.0000  0.5000 (multiplicity 2)
N  0.0000  0.5000  0.7500 (multiplicity 2)